(1)
VASP calculation (PBE-GGA) on HSICl2 after structural relaxation.

a b c (Å): 5.5073 5.5073 3.3403
angles (deg): 90.00 90.00 90.00
Closest atoms and distances in Å follow each position.
Space group P4/mmm (No. 123)
Inequivalent atoms, fractional coordinates:
H (0.0000, 0.0000, 0.0000) x1  2 S 1.67
S (0.0000, 0.0000, 0.5000) x1  2 H 1.67
I (0.5000, 0.5000, 0.0000) x1  8 Cl 3.22, 2 I 3.34
Cl (0.0000, 0.5000, 0.5000) x2  2 S 2.75

Values from the calculation:
The excess energy over the best structure of this formula in the dataset is 0 meV/atom.

***

(2)
VASP calculation (PBE-GGA) on HSICl2 after structural relaxation.

a b c (Å): 3.9506 3.9506 8.0454
angles (deg): 90.00 90.00 90.00
Closest atoms and distances in Å follow each position.
Space group P4/mmm (No. 123)
Inequivalent atoms, fractional coordinates:
H (0.0000, 0.0000, 0.0000) x1  4 Cl 1.98
S (0.0000, 0.0000, 0.5000) x1  4 I 2.79
I (0.5000, 0.5000, 0.5000) x1  4 S 2.79
Cl (0.0000, 0.5000, 0.0000) x2  2 H 1.98

Values from the calculation:
The excess energy over the best structure of this formula in the dataset is 43 meV/atom.

***

(3)
VASP calculation (PBE-GGA) on HSICl2 after structural relaxation.

a b c (Å): 5.4505 5.4505 5.0783
angles (deg): 90.00 90.00 90.00
Closest atoms and distances in Å follow each position.
Space group P4/mmm (No. 123)
Inequivalent atoms, fractional coordinates:
H (0.0000, 0.0000, 0.0000) x1  8 Cl 3.72, 4 S 3.85
S (0.5000, 0.5000, 0.0000) x1  2 I 2.54
I (0.5000, 0.5000, 0.5000) x1  2 S 2.54, 4 Cl 2.73
Cl (0.0000, 0.5000, 0.5000) x2  2 I 2.73

Values from the calculation:
The excess energy over the best structure of this formula in the dataset is 302 meV/atom.

***

(4)
VASP calculation (PBE-GGA) on SbHI2Cl after structural relaxation.

a b c (Å): 5.6819 5.6819 3.9161
angles (deg): 90.00 90.00 90.00
Closest atoms and distances in Å follow each position.
Space group P4/mmm (No. 123)
Inequivalent atoms, fractional coordinates:
Sb (0.0000, 0.0000, 0.0000) x1  2 H 1.96
H (0.0000, 0.0000, 0.5000) x1  2 Sb 1.96
I (0.0000, 0.5000, 0.5000) x2  2 H 2.84
Cl (0.5000, 0.5000, 0.0000) x1  8 I 3.45

Values from the calculation:
The excess energy over the best structure of this formula in the dataset is 0 meV/atom.

***

(5)
VASP calculation (PBE-GGA) on SbHI2Cl after structural relaxation.

a b c (Å): 6.1592 6.1592 5.3354
angles (deg): 90.00 90.00 90.00
Closest atoms and distances in Å follow each position.
Space group P4/mmm (No. 123)
Inequivalent atoms, fractional coordinates:
Sb (0.0000, 0.0000, 0.0000) x1  2 Cl 2.67
H (0.5000, 0.5000, 0.0000) x1  8 I 4.07, 4 Sb 4.36
I (0.0000, 0.5000, 0.5000) x2  2 Cl 3.08
Cl (0.0000, 0.0000, 0.5000) x1  2 Sb 2.67

Values from the calculation:
The excess energy over the best structure of this formula in the dataset is 518 meV/atom.

***

(6)
VASP calculation (PBE-GGA) on ScHICl after structural relaxation.

a b c (Å): 3.6704 3.6704 22.6060
angles (deg): 90.00 90.00 120.00
Closest atoms and distances in Å follow each position.
Space group R3m (No. 160, hexagonal axes)
Inequivalent atoms, fractional coordinates:
Sc (0.0000, 0.0000, 0.0000) x3  3 H 2.12
H (0.0000, 0.0000, 0.3370) x3  3 Sc 2.12
I (0.0000, 0.0000, 0.7585) x3  3 H 2.91, 3 Sc 2.97
Cl (0.0000, 0.0000, 0.5945) x3  3 Sc 2.67, 3 H 2.73

Values from the calculation:
The total energy is -4.525 eV per atom.

***

(7)
VASP calculation (PBE-GGA) on H2SeICl after structural relaxation.

a b c (Å): 3.8759 3.8759 8.3218
angles (deg): 90.00 90.00 90.00
Closest atoms and distances in Å follow each position.
Space group P4/mmm (No. 123)
Inequivalent atoms, fractional coordinates:
H (0.0000, 0.5000, 0.0000) x2  2 I 1.94
Se (0.0000, 0.0000, 0.5000) x1  4 Cl 2.74
I (0.0000, 0.0000, 0.0000) x1  4 H 1.94
Cl (0.5000, 0.5000, 0.5000) x1  4 Se 2.74

Values from the calculation:
The total energy is -2.235 eV per atom.

***

(8)
VASP calculation (PBE-GGA) on SmHICl after structural relaxation.

a b c (Å): 6.9008 3.9842 8.0358
angles (deg): 90.00 106.76 90.00
Closest atoms and distances in Å follow each position.
Space group Cm (No. 8)
Inequivalent atoms, fractional coordinates:
Sm (0.0000, 0.0000, 0.0000) x2  3 H 2.30
H (0.3360, 0.0000, 0.0079) x2  3 Sm 2.30
I (0.2624, 0.5000, 0.2851) x2  3 H 3.14, 3 Sm 3.18
Cl (0.0921, 0.5000, 0.7778) x2  3 Sm 2.87, 3 H 2.90

Values from the calculation:
The total energy is -4.361 eV per atom.

***

(9)
VASP calculation (PBE-GGA) on SnHI2Cl after structural relaxation.

a b c (Å): 6.4750 6.4750 5.2395
angles (deg): 90.00 90.00 90.00
Closest atoms and distances in Å follow each position.
Space group P4/mmm (No. 123)
Inequivalent atoms, fractional coordinates:
Sn (0.0000, 0.0000, 0.0000) x1  2 Cl 2.62
H (0.5000, 0.5000, 0.0000) x1  8 I 4.16, 4 Sn 4.58
I (0.0000, 0.5000, 0.5000) x2  2 Cl 3.24
Cl (0.0000, 0.0000, 0.5000) x1  2 Sn 2.62

Values from the calculation:
The total energy is -1.829 eV per atom.

***

(10)
VASP calculation (PBE-GGA) on TeHI2Cl after structural relaxation.

a b c (Å): 5.7087 5.7087 3.8945
angles (deg): 90.00 90.00 90.00
Closest atoms and distances in Å follow each position.
Space group P4/mmm (No. 123)
Inequivalent atoms, fractional coordinates:
Te (0.0000, 0.0000, 0.0000) x1  2 H 1.95
H (0.0000, 0.0000, 0.5000) x1  2 Te 1.95
I (0.0000, 0.5000, 0.5000) x2  2 H 2.85
Cl (0.5000, 0.5000, 0.0000) x1  8 I 3.46

Values from the calculation:
The excess energy over the best structure of this formula in the dataset is 0 meV/atom.

***

(11)
VASP calculation (PBE-GGA) on TeHI2Cl after structural relaxation.

a b c (Å): 5.8313 5.8313 5.3967
angles (deg): 90.00 90.00 90.00
Closest atoms and distances in Å follow each position.
Space group P4/mmm (No. 123)
Inequivalent atoms, fractional coordinates:
Te (0.0000, 0.0000, 0.0000) x1  2 Cl 2.70
H (0.5000, 0.5000, 0.0000) x1  8 I 3.97, 4 Te 4.12
I (0.0000, 0.5000, 0.5000) x2  2 Cl 2.92
Cl (0.0000, 0.0000, 0.5000) x1  2 Te 2.70, 4 I 2.92

Values from the calculation:
The excess energy over the best structure of this formula in the dataset is 441 meV/atom.

***

(12)
VASP calculation (PBE-GGA) on Te2HICl after structural relaxation.

a b c (Å): 4.3391 4.3391 8.2323
angles (deg): 90.00 90.00 90.00
Closest atoms and distances in Å follow each position.
Space group P4/mmm (No. 123)
Inequivalent atoms, fractional coordinates:
Te (0.0000, 0.5000, 0.0000) x2  2 H 2.17
H (0.0000, 0.0000, 0.0000) x1  4 Te 2.17
I (0.0000, 0.0000, 0.5000) x1  4 Cl 3.07
Cl (0.5000, 0.5000, 0.5000) x1  4 I 3.07

Values from the calculation:
The excess energy over the best structure of this formula in the dataset is 0 meV/atom.

***

(13)
VASP calculation (PBE-GGA) on Te2HICl after structural relaxation.

a b c (Å): 5.3508 5.3508 6.8577
angles (deg): 90.00 90.00 90.00
Closest atoms and distances in Å follow each position.
Space group P4/mmm (No. 123)
Inequivalent atoms, fractional coordinates:
Te (0.0000, 0.5000, 0.0000) x2  2 Cl 2.68
H (0.0000, 0.0000, 0.5000) x1  4 I 3.78
I (0.5000, 0.5000, 0.5000) x1  2 Cl 3.43, 4 H 3.78
Cl (0.5000, 0.5000, 0.0000) x1  4 Te 2.68

Values from the calculation:
The excess energy over the best structure of this formula in the dataset is 653 meV/atom.

***

(14)
VASP calculation (PBE-GGA) on ThH2I2Cl2 after structural relaxation.

a b c (Å): 14.6735 4.6439 10.5017
angles (deg): 90.00 134.01 90.00
Closest atoms and distances in Å follow each position.
Space group C2/m (No. 12)
Inequivalent atoms, fractional coordinates:
Th (0.0000, 0.0000, 0.0000) x2  2 Cl 2.57
H (0.0345, 0.0000, 0.5246) x4  1 H 0.75
I (0.0571, 0.5000, 0.8575) x4  2 Th 3.17
Cl (0.2340, 0.0000, 0.2951) x4  1 Th 2.57

Values from the calculation:
The total energy is -4.157 eV per atom.

***

(15)
VASP calculation (PBE-GGA) on TlHICl6 after structural relaxation.

a b c (Å): 6.2940 7.3237 7.6791
angles (deg): 85.97 68.16 75.09
Closest atoms and distances in Å follow each position.
Space group P1 (No. 1)
Inequivalent atoms, fractional coordinates:
Tl (0.0000, 0.0000, 0.0000) x1  4 Cl 3.07-3.43
H (0.1625, 0.3092, 0.4707) x1  1 Cl 1.31
I (0.6123, 0.6359, 0.3383) x1  4 Cl 2.47-2.52
Cl (0.0012, 0.5496, 0.0701) x1  1 I 2.50
Cl (0.2347, 0.7042, 0.6111) x1  1 I 2.47
Cl (0.4560, 0.9095, 0.0825) x1  1 I 2.95, 1 Tl 3.07
Cl (0.5027, 0.3623, 0.2406) x1  1 H 2.32, 1 I 2.52
Cl (0.7358, 0.8937, 0.4382) x1  1 I 2.48
Cl (0.9603, 0.2805, 0.5833) x1  1 H 1.31

Values from the calculation:
The total energy is -2.417 eV per atom.

***

(16)
VASP calculation (PBE-GGA) on TmHICl after structural relaxation.

a b c (Å): 6.8726 3.9670 8.1898
angles (deg): 90.00 106.29 90.00
Closest atoms and distances in Å follow each position.
Space group Cm (No. 8)
Inequivalent atoms, fractional coordinates:
Tm (0.0000, 0.0000, 0.0000) x2  3 H 2.30
H (0.3428, 0.0000, 0.0281) x2  3 Tm 2.30
I (0.1178, 0.0000, 0.3496) x2  1 Tm 2.75
Cl (0.1027, 0.5000, 0.8084) x2  3 Tm 2.74, 3 H 2.87

Values from the calculation:
The total energy is -4.009 eV per atom.

***

(17)
VASP calculation (PBE-GGA) on U2HI2Cl4 after structural relaxation.

a b c (Å): 5.4584 8.2997 9.0366
angles (deg): 116.51 106.61 92.08
Closest atoms and distances in Å follow each position.
Space group P-1 (No. 2)
Inequivalent atoms, fractional coordinates:
U (0.0272, 0.2749, 0.0000) x2  1 H 1.88
H (0.0000, 0.5000, 0.0000) x1  2 U 1.88
I (0.1416, 0.1402, 0.2816) x2  2 U 3.13
Cl (0.1429, 0.6425, 0.2862) x2  1 H 2.18
Cl (0.4769, 0.7281, 0.0002) x2  2 U 2.71-2.75

Values from the calculation:
The total energy is -5.136 eV per atom.

***

(18)
VASP calculation (PBE-GGA) on In2H4Cl3 after structural relaxation.

a b c (Å): 4.8646 4.9715 9.4513
angles (deg): 91.86 104.76 115.02
Closest atoms and distances in Å follow each position.
Space group P-1 (No. 2)
Inequivalent atoms, fractional coordinates:
In (0.1895, 0.1168, 0.2956) x2  4 Cl 2.67-2.97, 1 H 2.99
H (0.2384, 0.6520, 0.8857) x2  1 H 0.75
H (0.2494, 0.5593, 0.8245) x2  1 H 0.75
Cl (0.0000, 0.0000, 0.0000) x1  2 In 2.67, 2 H 2.78
Cl (0.4274, 0.2198, 0.6492) x2  1 H 2.85, 4 In 2.95-3.19

Values from the calculation:
The total energy is -3.135 eV per atom.

***

(19)
VASP calculation (PBE-GGA) on In5H2Cl4 after structural relaxation.

a b c (Å): 18.4790 3.9526 8.2094
angles (deg): 90.00 91.63 90.00
Closest atoms and distances in Å follow each position.
Space group C2/m (No. 12)
Inequivalent atoms, fractional coordinates:
In (0.0000, 0.0000, 0.0000) x2  4 Cl 3.15, 4 In 3.37
In (0.1136, 0.5000, 0.4386) x4  2 H 1.98
In (0.1478, 0.5000, 0.0295) x4  3 Cl 2.83-2.92
H (0.1223, 0.0000, 0.4317) x4  2 In 1.98
Cl (0.0272, 0.5000, 0.7097) x4  2 In 2.78-2.84
Cl (0.2130, 0.0000, 0.8167) x4  3 In 2.83-2.92

Values from the calculation:
The total energy is -2.957 eV per atom.

***

(20)
VASP calculation (PBE-GGA) on InHCl2 after structural relaxation.

a b c (Å): 3.3087 3.3087 23.2011
angles (deg): 90.00 90.00 120.00
Closest atoms and distances in Å follow each position.
Space group R-3m (No. 166, hexagonal axes)
Inequivalent atoms, fractional coordinates:
In (0.0000, 0.0000, 0.0000) x3  2 Cl 2.62
H (0.0000, 0.0000, 0.5000) x3  6 Cl 2.28
Cl (0.0000, 0.0000, 0.1129) x6  3 H 2.28

Values from the calculation:
The total energy is -2.295 eV per atom.

***

(21)
VASP calculation (PBE-GGA) on In3HCl after structural relaxation.

a b c (Å): 4.9454 4.9454 4.9454
angles (deg): 90.00 90.00 90.00
Closest atoms and distances in Å follow each position.
Space group Pm-3m (No. 221)
Inequivalent atoms, fractional coordinates:
In (0.0000, 0.0000, 0.5000) x3  2 H 2.47
H (0.0000, 0.0000, 0.0000) x1  6 In 2.47
Cl (0.5000, 0.5000, 0.5000) x1  12 In 3.50

Values from the calculation:
The excess energy over the best structure of this formula in the dataset is 0 meV/atom.

***

(22)
VASP calculation (PBE-GGA) on InHCl2 after structural relaxation.

a b c (Å): 6.4294 6.4294 8.2357
angles (deg): 90.00 90.00 90.00
Closest atoms and distances in Å follow each position.
Space group I-42d (No. 122)
Inequivalent atoms, fractional coordinates:
In (0.0000, 0.0000, 0.0000) x4  8 Cl 3.18-3.54
H (0.0000, 0.0000, 0.5000) x4  4 Cl 2.02
Cl (0.1035, 0.2500, 0.6250) x8  2 H 2.02

Values from the calculation:
The total energy is -2.672 eV per atom.

***

(23)
VASP calculation (PBE-GGA) on In2HCl2 after structural relaxation.

a b c (Å): 4.0111 7.5181 11.4209
angles (deg): 74.86 80.10 89.79
Closest atoms and distances in Å follow each position.
Space group P-1 (No. 2)
Inequivalent atoms, fractional coordinates:
In (0.0188, 0.1962, 0.4581) x2  2 Cl 2.67, 2 In 2.82-2.85
In (0.1252, 0.4830, 0.2381) x2  1 H 1.72
H (0.1645, 0.7120, 0.1566) x2  1 In 1.72
Cl (0.3265, 0.6567, 0.8575) x2  2 In 2.62
Cl (0.4506, 0.2595, 0.5978) x2  2 In 2.67

Values from the calculation:
The total energy is -3.005 eV per atom.

***

(24)
VASP calculation (PBE-GGA) on In3H2Cl5 after structural relaxation.

a b c (Å): 7.8811 9.0936 9.9105
angles (deg): 113.84 111.23 91.18
Closest atoms and distances in Å follow each position.
Space group P-1 (No. 2)
Inequivalent atoms, fractional coordinates:
In (0.1602, 0.2154, 0.2950) x2  4 Cl 2.39-2.42
In (0.1871, 0.7668, 0.3662) x2  1 H 2.50
In (0.3128, 0.5766, 0.8655) x2  2 H 1.70-1.73
H (0.1260, 0.4154, 0.7698) x2  1 In 1.73
H (0.4122, 0.7611, 0.8956) x2  1 In 1.70
Cl (0.0099, 0.2342, 0.0467) x2  1 In 2.39
Cl (0.0568, 0.9253, 0.6567) x2  1 In 2.41
Cl (0.2542, 0.4973, 0.4990) x2  1 In 2.42
Cl (0.4186, 0.0804, 0.3194) x2  1 In 2.39
Cl (0.4290, 0.6025, 0.1603) x2  2 In 2.63-2.65

Values from the calculation:
The total energy is -3.112 eV per atom.

***

(25)
VASP calculation (PBE-GGA) on InHCl2 after structural relaxation.

a b c (Å): 6.8343 6.8343 6.8343
angles (deg): 90.00 90.00 90.00
Closest atoms and distances in Å follow each position.
Space group Fm-3m (No. 225)
Inequivalent atoms, fractional coordinates:
In (0.0000, 0.0000, 0.0000) x4  8 Cl 2.96
H (0.0000, 0.0000, 0.5000) x4  8 Cl 2.96
Cl (0.2500, 0.2500, 0.2500) x8  4 H 2.96, 4 In 2.96

Values from the calculation:
The total energy is -2.429 eV per atom.

***

(26)
VASP calculation (PBE-GGA) on InHCl2 after structural relaxation.

a b c (Å): 4.9961 4.9961 18.3836
angles (deg): 90.00 90.00 120.00
Closest atoms and distances in Å follow each position.
Space group R-3m (No. 166, hexagonal axes)
Inequivalent atoms, fractional coordinates:
In (0.0000, 0.0000, 0.0000) x3  6 Cl 3.25
H (0.0000, 0.0000, 0.5000) x3  2 Cl 1.56
Cl (0.0000, 0.0000, 0.4152) x6  1 H 1.56

Values from the calculation:
The total energy is -3.094 eV per atom.

***

no.,calculated volume (Å³/atom)
1,20.26
2,25.11
3,30.17
4,25.29
5,40.48
6,21.98
7,25.00
8,26.44
9,43.93
10,25.38
11,36.70
12,31.00
13,39.27
14,36.76
15,35.26
16,26.79
17,38.29
18,21.97
19,27.24
20,18.33
21,24.19
22,21.28
23,32.72
24,29.69
25,19.95
26,33.12